Entry 1:
First-principles (PBE) data for MnCdTe2 after structural relaxation, as listed in the Alexandria database.

Computed properties:
As for the crystal system: trigonal. The value obtained for the formation energy from raw total energies is 0.643 eV/f.u.

Cell lengths 4.5332, 4.5332, 24.6618 Å; angles 90.00, 90.00, 120.00 degrees
Space group R-3m (No. 166, hexagonal axes)
Inequivalent atoms, fractional coordinates:
Mn 0.0000 0.0000 0.0000
Cd 0.0000 0.0000 0.5000
Te 0.0000 0.0000 0.1037

Entry 2:
First-principles (PBE) data for SrAlZn2Pt after structural relaxation, as listed in the Alexandria database.

Computed properties:
As for the crystal system: tetragonal. The offset from the most stable computed form comes out at 143 meV/atom. The energy relative to the elements comes out at -39.8 kJ per mole of atoms.

Cell lengths 4.9266, 4.9266, 4.7812 Å; angles 90.00, 90.00, 90.00 degrees
Space group P4/mmm (No. 123)
Inequivalent atoms, fractional coordinates:
Sr 0.0000 0.0000 0.0000
Al 0.5000 0.5000 0.0000
Zn 0.0000 0.5000 0.5000
Pt 0.5000 0.5000 0.5000

Entry 3:
First-principles (PBE) data for Dy8InAg2 after structural relaxation, as listed in the Alexandria database.

Computed properties:
As for the crystal system: monoclinic. The offset from the most stable computed form comes out at 104 meV/atom. The energy relative to the elements comes out at -6.9 kJ per mole of atoms.

Cell lengths 8.7138, 14.3001, 5.4246 Å; angles 90.00, 109.29, 90.00 degrees
Space group C2/m (No. 12)
Inequivalent atoms, fractional coordinates:
Dy 0.0000 0.2283 0.0000
Dy 0.1037 0.5000 0.8040
Dy 0.2082 0.1163 0.6010
In 0.0000 0.0000 0.0000
Ag 0.0000 0.3047 0.5000

Entry 4:
First-principles (PBE) data for LaPm2Sm5Ho after structural relaxation, as listed in the Alexandria database.

Computed properties:
As for the crystal system: tetragonal. The energy relative to the elements comes out at 25.7 kJ per mole of atoms.

Cell lengths 8.9022, 8.9022, 15.6723 Å; angles 90.00, 90.00, 90.00 degrees
Space group I4/mcm (No. 140)
Inequivalent atoms, fractional coordinates:
La 0.0000 0.0000 0.2500
Pm 0.1166 0.3834 0.0000
Sm 0.0000 0.0000 0.0000
Sm 0.2078 0.2922 0.3636
Ho 0.0000 0.5000 0.2500

Entry 5:
First-principles (PBE) data for CaFe3Cu after structural relaxation, as listed in the Alexandria database.

Computed properties:
As for the crystal system: cubic. The offset from the most stable computed form comes out at 0 meV/atom. The energy relative to the elements comes out at 80.8 kJ per mole of atoms.

Cell lengths 4.5392, 4.5392, 4.5392 Å; angles 90.00, 90.00, 90.00 degrees
Space group Pm-3m (No. 221)
Inequivalent atoms, fractional coordinates:
Ca 0.0000 0.0000 0.0000
Fe 0.0000 0.5000 0.5000
Cu 0.5000 0.5000 0.5000

Entry 6:
First-principles (PBE) data for TlCdRh2 after structural relaxation, as listed in the Alexandria database.

Computed properties:
As for the crystal system: trigonal. The offset from the most stable computed form comes out at 193 meV/atom. The energy relative to the elements comes out at 14.1 kJ per mole of atoms.

Cell lengths 3.1092, 3.1092, 25.8758 Å; angles 90.00, 90.00, 120.00 degrees
Space group R-3m (No. 166, hexagonal axes)
Inequivalent atoms, fractional coordinates:
Tl 0.0000 0.0000 0.0000
Cd 0.0000 0.0000 0.5000
Rh 0.0000 0.0000 0.2505

Entry 7:
First-principles (PBE) data for Cs4Rb5Hg3 after structural relaxation, as listed in the Alexandria database.

Computed properties:
As for the crystal system: monoclinic. The energy relative to the elements comes out at -9.1 kJ per mole of atoms.

Cell lengths 22.9026, 7.2434, 10.9226 Å; angles 90.00, 111.02, 90.00 degrees
Space group C2/m (No. 12)
Inequivalent atoms, fractional coordinates:
Cs 0.1283 0.0000 0.4813
Cs 0.1859 0.0000 0.9610
Rb 0.0000 0.0000 0.0000
Rb 0.0587 0.5000 0.7236
Rb 0.1624 0.5000 0.2619
Hg 0.0000 0.5000 0.0000
Hg 0.2198 0.5000 0.6651

Entry 8:
First-principles (PBE) data for NaThTl2 after structural relaxation, as listed in the Alexandria database.

Computed properties:
As for the crystal system: trigonal. The energy relative to the elements comes out at -5.2 kJ per mole of atoms.

Cell lengths 3.4632, 3.4632, 33.5749 Å; angles 90.00, 90.00, 120.00 degrees
Space group R-3m (No. 166, hexagonal axes)
Inequivalent atoms, fractional coordinates:
Na 0.0000 0.0000 0.0000
Th 0.0000 0.0000 0.5000
Tl 0.0000 0.0000 0.2535

Entry 9:
First-principles (PBE) data for ZrIn2OsBr after structural relaxation, as listed in the Alexandria database.

Computed properties:
As for the crystal system: tetragonal. The value obtained for the formation energy from raw total energies is 6.845 eV/f.u.

Cell lengths 5.3534, 5.3534, 4.5843 Å; angles 90.00, 90.00, 90.00 degrees
Space group P4/mmm (No. 123)
Inequivalent atoms, fractional coordinates:
Zr 0.0000 0.0000 0.0000
In 0.0000 0.5000 0.5000
Os 0.5000 0.5000 0.0000
Br 0.5000 0.5000 0.5000

Entry 10:
First-principles (PBE) data for Sr3IrCl after structural relaxation, as listed in the Alexandria database.

Computed properties:
As for the crystal system: cubic. The value obtained for the formation energy from raw total energies is -2.509 eV/f.u. The offset from the most stable computed form comes out at 0 meV/atom.

Cell lengths 5.8415, 5.8415, 5.8415 Å; angles 90.00, 90.00, 90.00 degrees
Space group Pm-3m (No. 221)
Inequivalent atoms, fractional coordinates:
Sr 0.0000 0.0000 0.5000
Ir 0.0000 0.0000 0.0000
Cl 0.5000 0.5000 0.5000

Entry 11:
First-principles (PBE) data for PrY9Tm2 after structural relaxation, as listed in the Alexandria database.

Computed properties:
As for the crystal system: tetragonal. The energy relative to the elements comes out at 2.6 kJ per mole of atoms.

Cell lengths 5.0492, 5.0492, 15.1579 Å; angles 90.00, 90.00, 90.00 degrees
Space group P4/mmm (No. 123)
Inequivalent atoms, fractional coordinates:
Pr 0.0000 0.0000 0.0000
Y 0.0000 0.5000 0.1700
Y 0.0000 0.5000 0.5000
Y 0.5000 0.5000 0.0000
Y 0.5000 0.5000 0.3358
Tm 0.0000 0.0000 0.3349

Entry 12:
First-principles (PBE) data for SrHgCl3 after structural relaxation, as listed in the Alexandria database.

Computed properties:
As for the crystal system: cubic. The value obtained for the formation energy from raw total energies is -5.274 eV/f.u. The offset from the most stable computed form comes out at 259 meV/atom.

Cell lengths 5.4436, 5.4436, 5.4436 Å; angles 90.00, 90.00, 90.00 degrees
Space group Pm-3m (No. 221)
Inequivalent atoms, fractional coordinates:
Sr 0.0000 0.0000 0.0000
Hg 0.5000 0.5000 0.5000
Cl 0.0000 0.5000 0.5000